Record 1
PBE NdAsRu2N, relaxed; space group = Cmcm; uncorrected formation energy = -641.4 meV per atom; spin magnetization = 0.000 μB per atom
1.0
3.864 0.000 0.000
-1.932 5.703 0.000
0.000 0.000 7.320
Nd As Ru N
2 2 4 2
direct
0.458 0.916 0.750
0.542 0.084 0.250
0.732 0.464 0.750
0.268 0.536 0.250
0.162 0.324 0.949
0.838 0.676 0.051
0.162 0.324 0.551
0.838 0.676 0.449
0.000 0.000 0.000
0.000 0.000 0.500


Record 2
PBE Nd4AsS2N, relaxed; space group = Cmcm; uncorrected formation energy = -1611.9 meV per atom; spin magnetization = 0.000 μB per atom
1.0
4.053 0.000 0.000
-2.026 6.752 0.000
0.000 0.000 14.353
Nd As S N
8 2 4 2
direct
0.271 0.541 0.129
0.729 0.459 0.629
0.729 0.459 0.871
0.271 0.541 0.371
0.000 0.000 0.500
0.000 0.000 0.000
0.432 0.863 0.750
0.568 0.137 0.250
0.108 0.216 0.750
0.892 0.784 0.250
0.364 0.728 0.557
0.636 0.272 0.057
0.636 0.272 0.443
0.364 0.728 0.943
0.839 0.678 0.750
0.161 0.322 0.250


Record 3
PBE Nd3AsSN, relaxed; space group = P2_1/m; uncorrected formation energy = -1506.0 meV per atom; spin magnetization = 0.000 μB per atom
1.0
-0.001 3.985 0.942
-8.111 0.530 -2.251
-0.920 -2.131 9.010
Nd As S N
6 2 2 2
direct
0.750 0.902 0.154
0.250 0.098 0.846
0.250 0.827 0.489
0.750 0.173 0.511
0.750 0.409 0.159
0.250 0.591 0.841
0.250 0.173 0.201
0.750 0.827 0.799
0.250 0.651 0.149
0.750 0.349 0.851
0.250 0.095 0.602
0.750 0.905 0.398


Record 4
PBE Nd3SbAsN, relaxed; space group = P2_1/m; uncorrected formation energy = -1242.3 meV per atom; spin magnetization = 0.000 μB per atom
1.0
-0.129 3.425 2.541
-0.803 -5.372 7.199
9.482 0.751 -0.529
Nd Sb As N
6 2 2 2
direct
0.250 0.842 0.489
0.750 0.888 0.165
0.750 0.412 0.149
0.750 0.158 0.511
0.250 0.588 0.851
0.250 0.112 0.835
0.750 0.827 0.788
0.250 0.173 0.212
0.250 0.648 0.161
0.750 0.352 0.839
0.250 0.090 0.597
0.750 0.910 0.403


Record 5
PBE Nd4SbAs2N, relaxed; space group = Cmcm; uncorrected formation energy = -1288.6 meV per atom; spin magnetization = 0.000 μB per atom
1.0
4.188 0.000 0.000
-2.094 7.248 0.000
0.000 0.000 14.780
Nd Sb As N
8 2 4 2
direct
0.258 0.517 0.127
0.742 0.483 0.627
0.742 0.483 0.873
0.258 0.517 0.373
0.000 0.000 0.500
0.000 0.000 0.000
0.422 0.844 0.750
0.578 0.156 0.250
0.103 0.207 0.750
0.897 0.793 0.250
0.368 0.735 0.552
0.632 0.265 0.052
0.632 0.265 0.448
0.368 0.735 0.948
0.836 0.672 0.750
0.164 0.328 0.250


Record 6
PBE Nd8As3Se4N, relaxed; space group = R-3m; uncorrected formation energy = -1649.2 meV per atom; spin magnetization = 0.000 μB per atom
1.0
-6.720 -2.596 4.185
3.671 -7.485 1.253
3.935 6.960 2.343
Nd As Se N
8 3 4 1
direct
0.229 0.723 0.994
0.229 0.724 0.459
0.253 0.260 0.506
0.765 0.723 0.994
0.235 0.277 0.006
0.747 0.740 0.494
0.771 0.276 0.541
0.771 0.277 0.006
0.500 0.500 0.000
0.500 0.500 0.500
0.000 0.500 0.500
0.500 0.000 0.000
0.500 0.000 0.500
0.000 0.000 0.000
0.000 0.000 0.500
0.000 0.500 0.000


Record 7
PBE Nd3AsSeN, relaxed; space group = P2_1/m; uncorrected formation energy = -1458.0 meV per atom; spin magnetization = 0.000 μB per atom
1.0
-1.731 -3.614 0.992
4.263 0.036 7.566
-7.765 4.463 2.706
Nd As Se N
6 2 2 2
direct
0.750 0.906 0.158
0.250 0.094 0.842
0.250 0.834 0.492
0.750 0.166 0.508
0.750 0.395 0.157
0.250 0.605 0.843
0.250 0.167 0.198
0.750 0.833 0.802
0.250 0.648 0.160
0.750 0.352 0.840
0.250 0.091 0.600
0.750 0.909 0.400


Record 8
PBE Nd4AsSe2N, relaxed; space group = P2/m; uncorrected formation energy = -1594.1 meV per atom; spin magnetization = 0.000 μB per atom
1.0
4.057 0.000 0.000
0.000 7.073 0.131
0.000 -2.465 6.826
Nd As Se N
4 1 2 1
direct
0.500 0.218 0.213
0.500 0.782 0.787
0.000 0.231 0.779
0.000 0.769 0.221
0.500 0.500 0.000
0.500 0.000 0.500
0.000 0.500 0.500
0.000 0.000 0.000


Record 9
PBE Nd8Te4As3N, relaxed; space group = R-3m; uncorrected formation energy = -1445.6 meV per atom; spin magnetization = 0.000 μB per atom
1.0
8.493 0.000 0.000
0.000 8.792 0.207
-4.246 -4.242 6.008
Nd Te As N
8 4 3 1
direct
0.223 0.706 0.983
0.223 0.706 0.446
0.260 0.279 0.519
0.760 0.706 0.983
0.240 0.294 0.017
0.740 0.721 0.481
0.777 0.294 0.554
0.777 0.294 0.017
0.500 0.000 0.000
0.500 0.000 0.500
0.000 0.000 0.000
0.000 0.000 0.500
0.500 0.500 0.000
0.500 0.500 0.500
0.000 0.500 0.500
0.000 0.500 0.000


Record 10
PBE NdThAsN, relaxed; space group = P4/nmm; uncorrected formation energy = -1164.8 meV per atom; spin magnetization = 0.000 μB per atom
1.0
-3.966 -1.145 1.464
1.801 -1.518 3.692
-1.005 8.663 4.052
Nd Th As N
2 2 2 2
direct
0.000 0.000 0.500
0.500 0.500 0.500
0.000 0.500 0.894
0.500 0.000 0.106
0.500 0.000 0.711
0.000 0.500 0.289
0.500 0.500 0.000
0.000 0.000 0.000


Record 11
PBE NdZn2AsN, relaxed; space group = Cmcm; uncorrected formation energy = -488.2 meV per atom; spin magnetization = 0.000 μB per atom
1.0
-2.691 -2.106 1.646
2.703 -3.305 -4.181
5.263 -2.514 5.389
Nd Zn As N
2 4 2 2
direct
0.459 0.918 0.750
0.541 0.082 0.250
0.170 0.339 0.952
0.830 0.661 0.048
0.170 0.339 0.548
0.830 0.661 0.452
0.735 0.469 0.750
0.265 0.531 0.250
0.000 0.000 0.000
0.000 0.000 0.500


Record 12
PBE NiAs2N2, relaxed; space group = C2/m; uncorrected formation energy = -1.6 meV per atom; spin magnetization = 0.000 μB per atom
1.0
2.932 -0.524 2.295
1.012 2.802 2.295
6.131 3.540 20.933
Ni As N
1 2 2
direct
0.000 0.000 0.000
0.366 0.366 0.096
0.634 0.634 0.904
0.423 0.423 0.543
0.577 0.577 0.457